(1)
Below is a relaxed structure of Li2InSnPb, with properties calculated at the PBE level.

- energy relative to the elements (meV per atom) = -164
- Fermi-level density of states (states/eV/cell) = 4.31
- space-group type = P2_1/m (11)
- ρ (kg/m³) = 6529

Cell: 3.390 18.716 5.000 Å, 133.21 90.00 90.00°
Fractional coordinates of all 10 atoms:
Sn (0.250, 0.544, 0.366)
Sn (0.750, 0.456, 0.634)
Li (0.750, 0.900, 0.848)
Li (0.250, 0.100, 0.152)
Li (0.750, 0.722, 0.821)
Li (0.250, 0.278, 0.179)
Pb (0.750, 0.098, 0.646)
Pb (0.250, 0.902, 0.354)
In (0.250, 0.705, 0.283)
In (0.750, 0.295, 0.717)

***

(2)
Below is a relaxed structure of Li2In4Sn3Pb2, with properties calculated at the PBE level.

- energy relative to the elements (meV per atom) = -45
- Fermi-level density of states (states/eV/cell) = 4.68
- space-group type = P-3m1 (164)
- ρ (kg/m³) = 6949

Cell: 5.134 5.134 13.020 Å, 90.00 90.00 120.00°
Fractional coordinates of all 11 atoms:
In (0.333, 0.667, 0.853)
In (0.333, 0.667, 0.323)
In (0.667, 0.333, 0.147)
In (0.667, 0.333, 0.677)
Li (0.333, 0.667, 0.084)
Li (0.667, 0.333, 0.916)
Pb (0.333, 0.667, 0.572)
Pb (0.667, 0.333, 0.428)
Sn (0.000, 0.000, 0.000)
Sn (0.000, 0.000, 0.247)
Sn (0.000, 0.000, 0.753)

***

(3)
Below is a relaxed structure of Li5InSn2Pb, with properties calculated at the PBE level.

- energy relative to the elements (meV per atom) = -154
- Fermi-level density of states (states/eV/cell) = 6.53
- space-group type = I4/mcm (140)
- ρ (kg/m³) = 4769

Cell: 7.956 7.956 8.624 Å, 117.47 117.47 90.00°
Fractional coordinates of all 18 atoms:
Sn (0.379, 0.879, 0.000)
Sn (0.621, 0.121, 0.000)
Sn (0.121, 0.379, 0.000)
Sn (0.879, 0.621, 0.000)
Li (0.669, 0.169, 0.741)
Li (0.928, 0.428, 0.259)
Li (0.000, 0.000, 0.000)
Li (0.428, 0.331, 0.259)
Li (0.500, 0.500, 0.000)
Li (0.169, 0.072, 0.741)
Li (0.331, 0.831, 0.259)
Li (0.831, 0.928, 0.259)
Li (0.572, 0.669, 0.741)
Li (0.072, 0.572, 0.741)
Pb (0.250, 0.750, 0.500)
Pb (0.750, 0.250, 0.500)
In (0.750, 0.750, 0.500)
In (0.250, 0.250, 0.500)

***

(4)
Below is a relaxed structure of Sr2Li3InPb4, with properties calculated at the PBE level.

- energy relative to the elements (meV per atom) = -378
- Fermi-level density of states (states/eV/cell) = 5.66
- space-group type = P-4m2 (115)
- ρ (kg/m³) = 6827

Cell: 4.684 4.684 12.634 Å, 90.00 90.00 90.00°
Fractional coordinates of all 10 atoms:
Li (0.500, 0.000, 0.864)
Li (0.000, 0.500, 0.136)
Li (0.000, 0.000, 0.500)
In (0.500, 0.500, 0.500)
Sr (0.500, 0.000, 0.246)
Sr (0.000, 0.500, 0.754)
Pb (0.000, 0.000, 0.000)
Pb (0.000, 0.500, 0.352)
Pb (0.500, 0.000, 0.648)
Pb (0.500, 0.500, 0.000)

***

Question: Number 3 is which compound?
Answer: Li5InSn2Pb